Entry 1:
Entry from Alexandria via LeMat-Bulk: Sm4InB3Rh12 after structural relaxation (PBE).

Cell and atoms, written as CIF:
```
data_Sm4InB3Rh12
_space_group_name_H-M_alt 'P 1'
_space_group_IT_number 1
_cell_length_a 7.6030
_cell_length_b 7.6030
_cell_length_c 7.6030
_cell_angle_alpha 109.47
_cell_angle_beta 109.47
_cell_angle_gamma 109.47
loop_
_space_group_symop_operation_xyz
'x,y,z'
loop_
_atom_site_label
_atom_site_type_symbol
_atom_site_fract_x
_atom_site_fract_y
_atom_site_fract_z
Sm1 Sm 0.0000 0.0000 0.5000
Sm2 Sm 0.0000 0.5000 0.0000
Sm3 Sm 0.5000 0.0000 0.0000
Sm4 Sm 0.5000 0.5000 0.5000
In1 In 0.0000 0.0000 0.0000
B1 B 0.0000 0.5000 0.5000
B2 B 0.5000 0.0000 0.5000
B3 B 0.5000 0.5000 0.0000
Rh1 Rh 0.0000 0.2807 0.2807
Rh2 Rh 0.0000 0.7193 0.7193
Rh3 Rh 0.2500 0.5000 0.7500
Rh4 Rh 0.2500 0.7500 0.5000
Rh5 Rh 0.2807 0.0000 0.2807
Rh6 Rh 0.2807 0.2807 0.0000
Rh7 Rh 0.5000 0.2500 0.7500
Rh8 Rh 0.5000 0.7500 0.2500
Rh9 Rh 0.7193 0.0000 0.7193
Rh10 Rh 0.7193 0.7193 0.0000
Rh11 Rh 0.7500 0.2500 0.5000
Rh12 Rh 0.7500 0.5000 0.2500
```

Computed properties:
- SG: Im-3m (229)
- Total moment: 0.0 Bohr magnetons per cell
- Energy of formation: -0.5124 eV per atom
- Final energy: -7.01 eV per atom
- Mass density: 9.74 g/cm³

---

Entry 2:
Entry from Alexandria via LeMat-Bulk: AcPmSbSe after structural relaxation (PBE).

Cell and atoms, written as CIF:
```
data_AcPmSbSe
_space_group_name_H-M_alt 'P 1'
_space_group_IT_number 1
_cell_length_a 12.1655
_cell_length_b 12.1655
_cell_length_c 12.1655
_cell_angle_alpha 24.76
_cell_angle_beta 24.76
_cell_angle_gamma 24.76
loop_
_space_group_symop_operation_xyz
'x,y,z'
loop_
_atom_site_label
_atom_site_type_symbol
_atom_site_fract_x
_atom_site_fract_y
_atom_site_fract_z
Ac1 Ac 0.2043 0.2043 0.2043
Ac2 Ac 0.7957 0.7957 0.7957
Pm1 Pm 0.3780 0.3780 0.3780
Pm2 Pm 0.6220 0.6220 0.6220
Sb1 Sb 0.0979 0.0979 0.0979
Sb2 Sb 0.9021 0.9021 0.9021
Se1 Se 0.2968 0.2968 0.2968
Se2 Se 0.7032 0.7032 0.7032
```

Computed properties:
- SG: R-3m (166)
- Total moment: 0.8 Bohr magnetons per cell
- E above lowest polymorph: 0.064 eV per atom
- Final energy: -5.31 eV per atom
- Mass density: 6.85 g/cm³
- Raw formation energy: -1.196 eV per atom